A plane-wave DFT calculation with PBE was carried out for a relaxed DyTmH crystal.

Computed properties:
density	8.98	g/cm3
E_tot	-0.32244	Ry/atom
DOS at the Fermi energy	2.99	states/eV/cell
offset from the most stable computed form	1.63	kJ/mol of atoms
space group	No. 156

Cell and atoms, written as POSCAR:
```
DyTmH
1.0
-2.895 -1.065 1.832
2.288 -2.432 -1.311
2.896 0.196 4.690
H Tm Dy
1 1 1
direct
0.333 0.667 0.664
0.667 0.333 0.422
0.000 0.000 0.913
```